DFT (meta-GGA SCAN) results for Ta2PtAu at its PBEsol-relaxed geometry.

Computed properties:
The total DFT energy (no corrections) comes out at -68.5900 eV/atom. Its density of states at the Fermi level is 2.97 states/eV/f.u. Its formation energy is -178 kJ/mol of formula units. As for the total magnetization: 0.00 μB per formula unit.

CIF file:
```
data_Ta2PtAu
_chemical_formula_sum 'Ta2 Pt1 Au1'
_space_group_name_H-M_alt 'P 4 m m'
_space_group_IT_number 99
_cell_length_a 3.3532
_cell_length_b 3.3532
_cell_length_c 5.9581
_cell_angle_alpha 90.00
_cell_angle_beta 90.00
_cell_angle_gamma 90.00
loop_
_space_group_symop_operation_xyz
'x,y,z'
'-y,x,z'
'-x,-y,z'
'y,-x,z'
'-x,y,z'
'y,x,z'
'x,-y,z'
'-y,-x,z'
loop_
_atom_site_label
_atom_site_type_symbol
_atom_site_fract_x
_atom_site_fract_y
_atom_site_fract_z
Ta1 Ta 0.0000 0.0000 0.0000
Ta2 Ta 0.5000 0.5000 0.2849
Pt1 Pt 0.5000 0.5000 0.7811
Au1 Au 0.0000 0.0000 0.5209
```